DFT (PBE) results for crystalline TiNb3Al2 at its relaxed geometry.

- Calculated formation energy: -201 meV per atom
- DFT total energy: -7.80 eV/atom
- Space group: No. 11

The structure in extended XYZ format:
```
12
Lattice="4.020 0.023 -1.382 -0.262 3.583 -0.701 0.194 2.698 13.710" Properties=species:S:1:pos:R:3 pbc="T T T"
Nb 3.511 3.149 0.445
Nb 1.625 1.342 1.472
Nb 0.358 1.813 4.350
Nb 0.442 3.156 11.181
Nb 2.327 4.963 10.155
Nb 3.594 4.492 7.277
Al 3.050 2.263 5.648
Al 2.951 0.914 -1.209
Al 1.001 5.390 12.835
Al 0.902 4.041 5.979
Ti 2.237 3.617 3.312
Ti 1.715 2.688 8.315
```